VASP calculation (GGA-PBE) on an optimized crystal structure of CuPtSN2.

Computed properties:
E_tot = -0.182 hartree per atom
M_tot = 0.1 μB per cell
Energy above the lowest structure with this stoichiometry = 0 meV/atom
Symmetry = P4/mmm

a b c (Å): 3.668 3.668 7.380
angles (deg): 90.00 90.00 90.00
Sites, in units of the cell vectors:
Cu: 0.000 0.000 0.000
Pt: 0.500 0.500 0.500
S: 0.500 0.500 0.000
N: 0.000 0.500 0.500
N: 0.500 0.000 0.500

---

VASP calculation (GGA-PBE) on an optimized crystal structure of Tb6AlSe3S2.

Computed properties:
E_tot = -0.213 hartree per atom
M_tot = 0.0 μB per cell
Symmetry = C2/m

a b c (Å): 9.176 9.176 8.328
angles (deg): 104.12 104.12 24.99
Sites, in units of the cell vectors:
Tb: 0.004 0.004 0.254
Tb: 0.330 0.330 0.429
Tb: 0.335 0.335 0.906
Tb: 0.665 0.665 0.094
Tb: 0.670 0.670 0.571
Tb: 0.996 0.996 0.746
Al: 0.500 0.500 0.000
Se: 0.167 0.167 0.829
Se: 0.500 0.500 0.500
Se: 0.833 0.833 0.171
S: 0.169 0.169 0.336
S: 0.831 0.831 0.664

---

VASP calculation (GGA-PBE) on an optimized crystal structure of Tm5Mg2Pb.

Computed properties:
E_tot = -0.138 hartree per atom
M_tot = 0.0 μB per cell
Energy of formation = -89 meV per atom
Symmetry = I4/mcm

a b c (Å): 8.726 8.726 8.726
angles (deg): 122.87 122.87 85.09
Sites, in units of the cell vectors:
Tm: 0.000 0.000 0.000
Tm: 0.004 0.504 0.196
Tm: 0.192 0.996 0.500
Tm: 0.308 0.808 0.804
Tm: 0.496 0.692 0.500
Tm: 0.500 0.500 0.000
Tm: 0.504 0.308 0.500
Tm: 0.692 0.192 0.196
Tm: 0.808 0.004 0.500
Tm: 0.996 0.496 0.804
Mg: 0.139 0.361 0.500
Mg: 0.361 0.861 0.221
Mg: 0.639 0.139 0.779
Mg: 0.861 0.639 0.500
Pb: 0.250 0.250 0.000
Pb: 0.750 0.750 0.000

---

VASP calculation (GGA-PBE) on an optimized crystal structure of ZrMnAsBr2.

Computed properties:
E_tot = -0.190 hartree per atom
M_tot = 5.6 μB per cell
Energy above the lowest structure with this stoichiometry = 0 meV/atom
Symmetry = P4/mmm

a b c (Å): 5.278 5.278 5.360
angles (deg): 90.00 90.00 90.00
Sites, in units of the cell vectors:
Zr: 0.000 0.000 0.000
Mn: 0.500 0.500 0.500
As: 0.000 0.000 0.500
Br: 0.000 0.500 0.000
Br: 0.500 0.000 0.000

---

VASP calculation (GGA-PBE) on an optimized crystal structure of Cs4HoU3Se8.

Computed properties:
E_tot = -0.209 hartree per atom
M_tot = 9.0 μB per cell
Symmetry = R-3m

a b c (Å): 9.763 9.763 9.763
angles (deg): 51.86 51.86 51.86
Sites, in units of the cell vectors:
Cs: 0.000 0.000 0.000
Cs: 0.000 0.500 0.500
Cs: 0.500 0.000 0.500
Cs: 0.500 0.500 0.000
Ho: 0.500 0.500 0.500
U: 0.000 0.000 0.500
U: 0.000 0.500 0.000
U: 0.500 0.000 0.000
Se: 0.229 0.229 0.229
Se: 0.232 0.727 0.727
Se: 0.273 0.273 0.768
Se: 0.273 0.768 0.273
Se: 0.727 0.232 0.727
Se: 0.727 0.727 0.232
Se: 0.768 0.273 0.273
Se: 0.771 0.771 0.771

---

VASP calculation (GGA-PBE) on an optimized crystal structure of LaVW2.

Computed properties:
E_tot = -0.340 hartree per atom
M_tot = 0.0 μB per cell
Energy above the lowest structure with this stoichiometry = 0 meV/atom
Energy of formation = 737 meV per atom
Symmetry = Fm-3m

a b c (Å): 4.670 4.670 4.670
angles (deg): 60.00 60.00 60.00
Sites, in units of the cell vectors:
La: 0.000 0.000 0.000
V: 0.500 0.500 0.500
W: 0.250 0.250 0.250
W: 0.750 0.750 0.750

---

VASP calculation (GGA-PBE) on an optimized crystal structure of KCd2Cu2.

Computed properties:
E_tot = -0.076 hartree per atom
M_tot = 0.0 μB per cell
Energy above the lowest structure with this stoichiometry = 14 meV/atom
Energy of formation = 151 meV per atom
Symmetry = P4/mbm

a b c (Å): 8.498 8.498 2.870
angles (deg): 90.00 90.00 90.00
Sites, in units of the cell vectors:
K: 0.000 0.000 0.000
K: 0.500 0.500 0.000
Cd: 0.129 0.371 0.000
Cd: 0.371 0.871 0.000
Cd: 0.629 0.129 0.000
Cd: 0.871 0.629 0.000
Cu: 0.166 0.666 0.500
Cu: 0.334 0.166 0.500
Cu: 0.666 0.834 0.500
Cu: 0.834 0.334 0.500

---

VASP calculation (GGA-PBE) on an optimized crystal structure of CaYTm.

Computed properties:
E_tot = -0.156 hartree per atom
M_tot = 0.0 μB per cell
Energy above the lowest structure with this stoichiometry = 11 meV/atom
Energy of formation = 80 meV per atom
Symmetry = I4mm

a b c (Å): 8.174 8.174 8.174
angles (deg): 154.37 154.37 36.57
Sites, in units of the cell vectors:
Ca: 0.000 0.000 0.000
Y: 0.321 0.321 0.000
Tm: 0.675 0.675 0.000